(1)
Computed, not measured: a relaxed structure of CsPmSn2Br8 at the PBE-GGA level of DFT.

```
12
Lattice="6.9166 0.0000 0.0000 0.4329 7.3985 0.0000 0.7450 1.0714 9.8274" Properties=species:S:1:pos:R:3 pbc="T T T"
Cs 0.0000 0.0000 0.0000
Pm 0.3725 0.5357 4.9137
Sn 3.7018 3.8302 2.4702
Sn 4.3926 4.6397 7.3572
Br 2.0888 2.9023 4.6020
Br 2.2873 6.5208 2.8974
Br 2.6734 7.0659 6.9411
Br 2.0307 2.9669 0.5408
Br 6.0637 5.5030 9.2866
Br 5.4210 1.4040 2.8864
Br 5.8071 1.9490 6.9300
Br 6.0056 5.5675 5.2254
```

As for the energy relative to the elements, uncorrected: -1.28 eV per atom. As for the volume: 41.9 Å³ per atom. The total energy is -3.533 eV/atom. Its space group is No. 2.

(2)
Computed, not measured: a relaxed structure of Cs2PmSnBr6 at the PBE-GGA level of DFT.

```
20
Lattice="7.9856 0.0000 0.0000 0.0000 11.5975 0.0000 0.0000 0.0000 9.5228" Properties=species:S:1:pos:R:3 pbc="T T T"
Cs 1.9964 0.1069 1.9199
Cs 1.9964 5.6919 1.9199
Cs 5.9892 5.9057 7.6030
Cs 5.9892 11.4906 7.6030
Pm 1.9964 8.6981 7.3178
Pm 5.9892 2.8994 2.2050
Sn 1.9964 2.8994 6.8696
Sn 5.9892 8.6981 2.6532
Br 0.0103 8.6981 9.4311
Br 0.1009 2.8994 4.1230
Br 1.9964 5.8116 7.4804
Br 1.9964 11.5847 7.4804
Br 3.8919 2.8994 4.1230
Br 3.9825 8.6981 9.4311
Br 4.0032 2.8994 0.0917
Br 4.0937 8.6981 5.3998
Br 5.9892 0.0128 2.0424
Br 5.9892 5.7860 2.0424
Br 7.8848 8.6981 5.3998
Br 7.9753 2.8994 0.0917
```

As for the energy relative to the elements, uncorrected: -1.46 eV per atom. As for the volume: 44.1 Å³ per atom. The total energy is -3.509 eV/atom. Its space group is No. 59.

(3)
Computed, not measured: a relaxed structure of CsPmTeBr2 at the PBE-GGA level of DFT.

```
10
Lattice="2.2812 -10.0153 0.0000 2.2812 10.0153 0.0000 0.0000 0.0000 9.0126" Properties=species:S:1:pos:R:3 pbc="T T T"
Cs 2.2812 5.8480 6.7594
Cs 2.2812 -5.8480 2.2531
Pm 2.2812 0.0000 0.0000
Pm 2.2812 0.0000 4.5063
Te 2.2812 9.8840 6.7594
Te 2.2812 -9.8840 2.2531
Br 2.2812 2.8561 4.6679
Br 2.2812 2.8561 8.8510
Br 2.2812 -2.8561 0.1616
Br 2.2812 -2.8561 4.3447
```

As for the energy relative to the elements, uncorrected: -1.67 eV per atom. As for the volume: 41.2 Å³ per atom. The total energy is -4.087 eV/atom. Its space group is No. 63.

(4)
Computed, not measured: a relaxed structure of CsPmZnBr6 at the PBE-GGA level of DFT.

```
9
Lattice="7.2464 0.0000 0.0000 -3.6232 6.2755 0.0000 0.0000 0.0000 8.1371" Properties=species:S:1:pos:R:3 pbc="T T T"
Cs 0.0000 0.0000 0.0000
Pm 0.0000 4.1837 4.0686
Zn 3.6232 2.0918 4.0686
Br 2.7246 0.1422 5.6656
Br 1.4855 2.2884 2.4715
Br 4.5218 0.1422 2.4715
Br 2.3841 3.8449 5.6656
Br 5.7609 2.2884 5.6656
Br 4.8623 3.8449 2.4715
```

As for the energy relative to the elements, uncorrected: -1.51 eV per atom. As for the volume: 41.1 Å³ per atom. The total energy is -3.386 eV/atom. Its space group is No. 149.

Magnetic moment values, unit Bohr magnetons per cell, following the record order: 0.000, 2.053, 0.000, 0.000.